This record from the Alexandria database describes an optimized crystal structure of SrTl2Os. The functional is PBE.

Calculated values
The calculation puts the density of states at the Fermi level at 4.77 states/eV/f.u. Its raw total energy is -3.89 eV per atom. As for the spin magnetization: 0.00 μB per formula unit. Its energy of formation is 12.0 kcal/mol of atoms.

abc: 7.2195 7.2195 7.2195
angles: 90.00 90.00 90.00
Last column: nearest neighbours and their distance in Å.
Space group Fm-3m (No. 225)
Asymmetric unit:
Sr (0.0000, 0.0000, 0.0000) x4  8 Tl 3.13
Tl (0.2500, 0.2500, 0.2500) x8  4 Os 3.13, 4 Sr 3.13
Os (0.0000, 0.0000, 0.5000) x4  8 Tl 3.13

***

This record from the Alexandria database describes an optimized crystal structure of Mg4Tl2Pb3. The functional is PBE.

Calculated values
The calculation puts the density of states at the Fermi level at 3.78 states/eV/f.u. Its raw total energy is -2.49 eV per atom. As for the spin magnetization: 0.00 μB per formula unit. Its energy of formation is -0.5 kcal/mol of atoms.

abc: 9.5516 5.0597 10.0021
angles: 90.00 94.21 90.00
Last column: nearest neighbours and their distance in Å.
Space group C2/m (No. 12)
Asymmetric unit:
Mg (0.0050, 0.0000, 0.3277) x4  4 Pb 3.20-3.27, 3 Tl 3.24-3.29, 1 Mg 3.45
Mg (0.1623, 0.5000, 0.8929) x4  4 Pb 3.19-3.32, 4 Tl 3.21-3.31
Tl (0.1730, 0.5000, 0.2157) x4  7 Mg 3.21-3.31, 1 Pb 3.55
Pb (0.0000, 0.0000, 0.0000) x2  8 Mg 3.19-3.32
Pb (0.1629, 0.5000, 0.5698) x4  4 Mg 3.20-3.26, 3 Pb 3.32-3.39, 1 Tl 3.55

***

This record from the Alexandria database describes an optimized crystal structure of Tm7Cd2Hg2. The functional is PBE.

Calculated values
The calculation puts the density of states at the Fermi level at 10.80 states/eV/f.u. Its raw total energy is -3.09 eV per atom. As for the spin magnetization: 0.00 μB per formula unit. Its energy of formation is -0.5 kcal/mol of atoms.

abc: 7.7023 11.0391 7.6245
angles: 90.00 90.00 90.00
Last column: nearest neighbours and their distance in Å.
Space group Cmmm (No. 65)
Asymmetric unit:
Tm (0.0000, 0.0000, 0.0000) x2  2 Hg 3.25
Tm (0.0000, 0.5000, 0.2619) x4  2 Hg 3.03, 2 Cd 3.08, 4 Tm 3.37
Tm (0.2500, 0.2500, 0.2841) x8  2 Hg 2.94, 2 Cd 3.26
Cd (0.1777, 0.0000, 0.5000) x4  1 Cd 2.74
Hg (0.0000, 0.2941, 0.0000) x4  7 Tm 2.94-3.25

***

This record from the Alexandria database describes an optimized crystal structure of ErMgSc4. The functional is PBE.

Calculated values
The calculation puts the density of states at the Fermi level at 9.65 states/eV/f.u. Its raw total energy is -5.23 eV per atom. As for the spin magnetization: 0.00 μB per formula unit. The energy above the most stable polymorph in this dataset comes out at 0 meV per atom. Its energy of formation is 0.3 kcal/mol of atoms.

abc: 3.3251 3.3251 13.6489
angles: 90.00 90.00 90.00
Last column: nearest neighbours and their distance in Å.
Space group P4/mmm (No. 123)
Asymmetric unit:
Er (0.0000, 0.0000, 0.0000) x1  4 Er 3.33, 8 Sc 3.37
Mg (0.5000, 0.5000, 0.5000) x1  8 Sc 3.22, 4 Mg 3.33
Sc (0.0000, 0.0000, 0.3393) x2  4 Mg 3.22, 8 Sc 3.23-3.33
Sc (0.5000, 0.5000, 0.1773) x2  8 Sc 3.23-3.33, 4 Er 3.37